Record 1
# ZrBe2Tl2O6 | Alexandria via LeMat-Bulk | PBE-GGA | optimized geometry
data_ZrBe2Tl2O6
_cell_length_a 5.2391
_cell_length_b 5.2391
_cell_length_c 6.9192
_cell_angle_alpha 90.00
_cell_angle_beta 90.00
_cell_angle_gamma 120.00
_symmetry_space_group_name_H-M 'P 1'
_symmetry_Int_Tables_number 1
loop_
_symmetry_equiv_pos_as_xyz
'x,y,z'
loop_
_atom_site_label
_atom_site_fract_x
_atom_site_fract_y
_atom_site_fract_z
Zr1 0.0000 0.0000 0.0000
Be1 0.3333 0.6667 0.8203
Be2 0.6667 0.3333 0.1797
Tl1 0.3333 0.6667 0.3374
Tl2 0.6667 0.3333 0.6626
O1 0.2939 0.3539 0.8186
O2 0.0600 0.7061 0.8186
O3 0.6461 0.9400 0.8186
O4 0.7061 0.6461 0.1814
O5 0.9400 0.2939 0.1814
O6 0.3539 0.0600 0.1814
# Space-group type: No. 147
# Uncorrected energy in eV per atom: -6.5153



Record 2
# TmBeO3 | Alexandria via LeMat-Bulk | PBE-GGA | optimized geometry
data_TmBeO3
_cell_length_a 3.5383
_cell_length_b 3.5383
_cell_length_c 3.5383
_cell_angle_alpha 90.00
_cell_angle_beta 90.00
_cell_angle_gamma 90.00
_symmetry_space_group_name_H-M 'P 1'
_symmetry_Int_Tables_number 1
loop_
_symmetry_equiv_pos_as_xyz
'x,y,z'
loop_
_atom_site_label
_atom_site_fract_x
_atom_site_fract_y
_atom_site_fract_z
Tm1 0.0000 0.0000 0.0000
Be1 0.5000 0.5000 0.5000
O1 0.5000 0.5000 0.0000
O2 0.5000 0.0000 0.5000
O3 0.0000 0.5000 0.5000
# Space-group type: No. 221
# Uncorrected energy in eV per atom: -7.0851



Record 3
# TmBeO3 | Alexandria via LeMat-Bulk | PBE-GGA | optimized geometry
data_TmBeO3
_cell_length_a 3.0915
_cell_length_b 5.3616
_cell_length_c 6.5282
_cell_angle_alpha 90.00
_cell_angle_beta 90.00
_cell_angle_gamma 106.34
_symmetry_space_group_name_H-M 'P 1'
_symmetry_Int_Tables_number 1
loop_
_symmetry_equiv_pos_as_xyz
'x,y,z'
loop_
_atom_site_label
_atom_site_fract_x
_atom_site_fract_y
_atom_site_fract_z
Tm1 0.2299 0.9602 0.2500
Tm2 0.7701 0.0398 0.7500
Be1 0.9513 0.4211 0.2500
Be2 0.0487 0.5789 0.7500
O1 0.8479 0.2037 0.0737
O2 0.1521 0.7963 0.9263
O3 0.8479 0.2037 0.4263
O4 0.1521 0.7963 0.5737
O5 0.5504 0.6065 0.2500
O6 0.4496 0.3935 0.7500
# Space-group type: No. 11
# Uncorrected energy in eV per atom: -7.1133



Record 4
# Tm3BeO6 | Alexandria via LeMat-Bulk | PBE-GGA | optimized geometry
data_Tm3BeO6
_cell_length_a 4.9822
_cell_length_b 7.0472
_cell_length_c 7.0472
_cell_angle_alpha 101.87
_cell_angle_beta 90.00
_cell_angle_gamma 90.00
_symmetry_space_group_name_H-M 'P 1'
_symmetry_Int_Tables_number 1
loop_
_symmetry_equiv_pos_as_xyz
'x,y,z'
loop_
_atom_site_label
_atom_site_fract_x
_atom_site_fract_y
_atom_site_fract_z
Tm1 0.4819 0.9275 0.6954
Tm2 0.9819 0.6954 0.9275
Tm3 0.4271 0.3872 0.6128
Tm4 0.9271 0.6128 0.3872
Tm5 0.9819 0.0725 0.3046
Tm6 0.4819 0.3046 0.0725
Be1 0.0183 0.1974 0.8026
Be2 0.5183 0.8026 0.1974
O1 0.2081 0.6747 0.6461
O2 0.7081 0.6461 0.6747
O3 0.1741 0.4068 0.8881
O4 0.6741 0.8881 0.4068
O5 0.1199 0.0438 0.9562
O6 0.6919 0.2156 0.7844
O7 0.1919 0.7844 0.2156
O8 0.6199 0.9562 0.0438
O9 0.1741 0.1119 0.5932
O10 0.6741 0.5932 0.1119
O11 0.2081 0.3539 0.3253
O12 0.7081 0.3253 0.3539
# Space-group type: No. 36
# Uncorrected energy in eV per atom: -7.8767



Record 5
# Tm12Be3O5 | Alexandria via LeMat-Bulk | PBE-GGA | optimized geometry
data_Tm12Be3O5
_cell_length_a 12.8132
_cell_length_b 12.8132
_cell_length_c 12.8132
_cell_angle_alpha 109.47
_cell_angle_beta 109.47
_cell_angle_gamma 109.47
_symmetry_space_group_name_H-M 'P 1'
_symmetry_Int_Tables_number 1
loop_
_symmetry_equiv_pos_as_xyz
'x,y,z'
loop_
_atom_site_label
_atom_site_fract_x
_atom_site_fract_y
_atom_site_fract_z
Be1 0.7500 0.3750 0.1250
Be2 0.8750 0.7500 0.1250
Be3 0.3750 0.7500 0.6250
Be4 0.2500 0.1250 0.3750
Be5 0.8750 0.1250 0.2500
Be6 0.3750 0.6250 0.2500
Be7 0.6250 0.3750 0.7500
Be8 0.1250 0.8750 0.7500
Be9 0.7500 0.8750 0.6250
Be10 0.6250 0.2500 0.3750
Be11 0.1250 0.2500 0.8750
Be12 0.2500 0.6250 0.8750
Tm1 0.7070 0.1161 0.0216
Tm2 0.3146 0.5216 0.4055
Tm3 0.9784 0.3839 0.2930
Tm4 0.5216 0.2070 0.1161
Tm5 0.5909 0.7070 0.6854
Tm6 0.9784 0.5945 0.1854
Tm7 0.3146 0.7930 0.4091
Tm8 0.0945 0.9091 0.1161
Tm9 0.5945 0.9784 0.6854
Tm10 0.7070 0.5909 0.1854
Tm11 0.7930 0.4784 0.3839
Tm12 0.8146 0.9055 0.0216
Tm13 0.1161 0.7070 0.5216
Tm14 0.3839 0.4055 0.0909
Tm15 0.0909 0.9055 0.3839
Tm16 0.4091 0.1161 0.5945
Tm17 0.0909 0.1854 0.2070
Tm18 0.4784 0.6854 0.0945
Tm19 0.8146 0.9091 0.2930
Tm20 0.1161 0.4091 0.0945
Tm21 0.3839 0.9784 0.7930
Tm22 0.5945 0.6161 0.4091
Tm23 0.9055 0.8146 0.5216
Tm24 0.7930 0.3146 0.9091
Tm25 0.4055 0.3839 0.5909
Tm26 0.0945 0.1854 0.4784
Tm27 0.2070 0.6854 0.0909
Tm28 0.1854 0.0909 0.7070
Tm29 0.6161 0.0216 0.2070
Tm30 0.8839 0.5909 0.9055
Tm31 0.5216 0.3146 0.9055
Tm32 0.5909 0.8839 0.4055
Tm33 0.9091 0.8146 0.7930
Tm34 0.9091 0.0945 0.6161
Tm35 0.8839 0.2930 0.4784
Tm36 0.1854 0.0945 0.9784
Tm37 0.6161 0.5945 0.9091
Tm38 0.4055 0.0216 0.3146
Tm39 0.2930 0.4091 0.8146
Tm40 0.2070 0.5216 0.6161
Tm41 0.9055 0.0909 0.8839
Tm42 0.6854 0.2070 0.5909
Tm43 0.4784 0.7930 0.8839
Tm44 0.0216 0.4055 0.8146
Tm45 0.4091 0.2930 0.3146
Tm46 0.0216 0.6161 0.7070
Tm47 0.6854 0.4784 0.5945
Tm48 0.2930 0.8839 0.9784
O1 0.1250 0.3750 0.2500
O2 0.0000 0.5000 0.0000
O3 0.0000 0.0000 0.0000
O4 0.3750 0.2500 0.1250
O5 0.5000 0.0000 0.5000
O6 0.5000 0.5000 0.0000
O7 0.1250 0.7500 0.3750
O8 0.7500 0.1250 0.8750
O9 0.7500 0.6250 0.3750
O10 0.3750 0.1250 0.7500
O11 0.6250 0.8750 0.2500
O12 0.5000 0.5000 0.5000
O13 0.5000 0.0000 0.0000
O14 0.0000 0.0000 0.5000
O15 0.2500 0.3750 0.6250
O16 0.2500 0.8750 0.1250
O17 0.0000 0.5000 0.5000
O18 0.8750 0.2500 0.6250
O19 0.6250 0.7500 0.8750
O20 0.8750 0.6250 0.7500
# Space-group type: No. 230
# Uncorrected energy in eV per atom: -5.8703



Record 6
# Tm3BeO | Alexandria via LeMat-Bulk | PBE-GGA | optimized geometry
data_Tm3BeO
_cell_length_a 4.5945
_cell_length_b 4.5945
_cell_length_c 4.5945
_cell_angle_alpha 90.00
_cell_angle_beta 90.00
_cell_angle_gamma 90.00
_symmetry_space_group_name_H-M 'P 1'
_symmetry_Int_Tables_number 1
loop_
_symmetry_equiv_pos_as_xyz
'x,y,z'
loop_
_atom_site_label
_atom_site_fract_x
_atom_site_fract_y
_atom_site_fract_z
Be1 0.5000 0.5000 0.5000
Tm1 0.0000 0.5000 0.0000
Tm2 0.0000 0.0000 0.5000
Tm3 0.5000 0.0000 0.0000
O1 0.0000 0.0000 0.0000
# Space-group type: No. 221
# Uncorrected energy in eV per atom: -5.4782



Energy relative to the elements, uncorrected / eV/atom: -1.93 -2.47 -2.50 -3.19 -1.39 -1.06